<w>
The following is a PBE-GGA calculation of a relaxed LaZn2SiIr crystal, from the Alexandria database. Values from VASP.

Calculated values
mass density: 6468 kg/m³
density of states at the Fermi level: 3.6 states/eV/f.u.

```
&SYSTEM
  ibrav = 0, nat = 5, ntyp = 4
/
ATOMIC_SPECIES
Zn 65.41 Zn.upf
Ir 192.22 Ir.upf
Si 28.09 Si.upf
La 138.91 La.upf
ATOMIC_POSITIONS crystal
Zn 0.0000 0.0000 0.5000
Zn 0.5000 0.0000 0.0000
Ir 0.0000 0.0000 0.0000
Si 0.5000 0.5000 0.5000
La 0.0000 0.5000 0.0000
CELL_PARAMETERS angstrom
-1.8618 -2.2891 -3.8279
-2.5088 -3.4531 3.2852
-3.8503 2.9186 0.1274
```

---

<x>
The following is a PBE-GGA calculation of a relaxed LaZn2SiIr crystal, from the Alexandria database. Values from VASP.

Calculated values
mass density: 8706 kg/m³
density of states at the Fermi level: 3.8 states/eV/f.u.

```
&SYSTEM
  ibrav = 0, nat = 5, ntyp = 4
/
ATOMIC_SPECIES
La 138.91 La.upf
Zn 65.41 Zn.upf
Si 28.09 Si.upf
Ir 192.22 Ir.upf
ATOMIC_POSITIONS crystal
La 0.4386 0.4386 0.8771
Zn 0.6946 0.1946 0.3891
Zn 0.0573 0.0573 0.1146
Si 0.8197 0.8197 0.6395
Ir 0.2020 0.7020 0.4039
CELL_PARAMETERS angstrom
-2.0387 -3.3727 1.0204
2.6181 -0.5804 3.3126
-3.5744 4.9027 0.9422
```

---

Energy ordering: <x> at the bottom, the next structure 601 meV per atom above.